First-principles (PBE-GGA) data for an optimized crystal structure of NaTmBi2, as listed in Alexandria.

Summary:
- formation energy (eV/f.u.) = -1.83
- electronic total energy (eV/atom) = -3.846
- crystal system = tetragonal
- distance to the lowest polymorph of the same formula (kJ/mol of formula units) = 0.0
- symmetry = P4/mmm (123)
- total magnetization (Bohr magnetons per cell) = 0.000

abc: 3.632 3.632 8.971
angles: 90.00 90.00 90.00
Positions (direct):
Bi: 0.000 0.000 0.737
Bi: 0.000 0.000 0.263
Tm: 0.500 0.500 0.500
Na: 0.500 0.500 0.000

First-principles (PBE-GGA) data for an optimized crystal structure of NaTmBi2, as listed in Alexandria.

Summary:
- formation energy (eV/f.u.) = -1.54
- electronic total energy (eV/atom) = -3.774
- crystal system = trigonal
- distance to the lowest polymorph of the same formula (kJ/mol of formula units) = 27.9
- symmetry = R3m (160)
- total magnetization (Bohr magnetons per cell) = 0.000

abc: 4.848 4.848 6.976
angles: 69.67 69.67 60.00
Positions (direct):
Na: 0.492 0.492 0.525
Tm: 0.671 0.671 0.986
Bi: 0.082 0.082 0.753
Bi: 0.255 0.255 0.236

First-principles (PBE-GGA) data for an optimized crystal structure of NaTmBi2, as listed in Alexandria.

Summary:
- formation energy (eV/f.u.) = -1.65
- electronic total energy (eV/atom) = -3.800
- crystal system = tetragonal
- distance to the lowest polymorph of the same formula (kJ/mol of formula units) = 17.9
- symmetry = P4/mmm (123)
- total magnetization (Bohr magnetons per cell) = 0.000

abc: 4.260 5.172 5.172
angles: 90.00 90.00 90.00
Positions (direct):
Tm: 0.500 0.500 0.500
Bi: 0.000 0.500 0.000
Bi: 0.000 0.000 0.500
Na: 0.500 0.000 0.000

First-principles (PBE-GGA) data for an optimized crystal structure of NaTmBi, as listed in Alexandria.

Summary:
- formation energy (eV/f.u.) = -0.71
- electronic total energy (eV/atom) = -3.462
- crystal system = trigonal
- symmetry = R-3m (166)
- total magnetization (Bohr magnetons per cell) = 0.000

abc: 5.090 5.090 9.271
angles: 74.07 74.07 60.00
Positions (direct):
Bi: 0.425 0.425 0.725
Bi: 0.575 0.575 0.275
Na: 0.295 0.295 0.114
Na: 0.705 0.705 0.886
Tm: 0.131 0.131 0.606
Tm: 0.869 0.869 0.394

First-principles (PBE-GGA) data for an optimized crystal structure of NaTmBi2, as listed in Alexandria.

Summary:
- formation energy (eV/f.u.) = -1.46
- electronic total energy (eV/atom) = -3.753
- crystal system = cubic
- distance to the lowest polymorph of the same formula (kJ/mol of formula units) = 35.9
- symmetry = Fm-3m (225)
- total magnetization (Bohr magnetons per cell) = 0.000

abc: 5.476 5.476 5.476
angles: 60.00 60.00 60.00
Positions (direct):
Bi: 0.750 0.750 0.750
Bi: 0.250 0.250 0.250
Tm: 0.000 0.000 0.000
Na: 0.500 0.500 0.500

First-principles (PBE-GGA) data for an optimized crystal structure of NaTmBi, as listed in Alexandria.

Summary:
- formation energy (eV/f.u.) = -0.56
- electronic total energy (eV/atom) = -3.410
- crystal system = tetragonal
- symmetry = I4mm (107)
- total magnetization (Bohr magnetons per cell) = 0.000

abc: 3.504 3.504 7.961
angles: 102.71 102.71 90.00
Positions (direct):
Tm: 0.319 0.319 0.638
Bi: 0.674 0.674 0.348
Na: 0.007 0.007 0.014

First-principles (PBE-GGA) data for an optimized crystal structure of NaUBi, as listed in Alexandria.

Summary:
- formation energy (eV/f.u.) = 0.12
- electronic total energy (eV/atom) = -5.457
- crystal system = monoclinic
- symmetry = C2/m (12)
- total magnetization (Bohr magnetons per cell) = 0.000

abc: 3.654 10.820 9.508
angles: 28.98 90.00 99.72
Positions (direct):
Bi: 0.091 0.182 0.075
Bi: 0.909 0.818 0.925
Na: 0.368 0.736 0.685
Na: 0.632 0.264 0.315
U: 0.811 0.622 0.439
U: 0.189 0.378 0.561

First-principles (PBE-GGA) data for an optimized crystal structure of NaU2Bi9, as listed in Alexandria.

Summary:
- formation energy (eV/f.u.) = -0.17
- electronic total energy (eV/atom) = -4.916
- crystal system = tetragonal
- symmetry = P4/mmm (123)
- total magnetization (Bohr magnetons per cell) = 5.437

abc: 4.938 4.938 14.710
angles: 90.00 90.00 90.00
Positions (direct):
Bi: 0.500 0.000 0.171
Bi: 0.500 0.000 0.500
Bi: 0.000 0.500 0.829
Bi: 0.500 0.500 0.667
Bi: 0.000 0.500 0.500
Bi: 0.500 0.000 0.829
Bi: 0.500 0.500 0.333
Bi: 0.000 0.500 0.171
Bi: 0.500 0.500 0.000
U: 0.000 0.000 0.343
U: 0.000 0.000 0.657
Na: 0.000 0.000 0.000

First-principles (PBE-GGA) data for an optimized crystal structure of Na2VBi4, as listed in Alexandria.

Summary:
- formation energy (eV/f.u.) = 1.10
- electronic total energy (eV/atom) = -3.740
- crystal system = tetragonal
- symmetry = I4/mmm (139)
- total magnetization (Bohr magnetons per cell) = 0.000

abc: 5.312 5.312 8.961
angles: 72.76 72.76 90.00
Positions (direct):
Bi: 0.500 0.000 0.000
Bi: 0.000 0.500 0.000
Bi: 0.168 0.168 0.663
Bi: 0.832 0.832 0.337
V: 0.000 0.000 0.000
Na: 0.640 0.640 0.719
Na: 0.360 0.360 0.281

First-principles (PBE-GGA) data for an optimized crystal structure of NaVBi3, as listed in Alexandria.

Summary:
- formation energy (eV/f.u.) = 5.06
- electronic total energy (eV/atom) = -3.404
- crystal system = cubic
- distance to the lowest polymorph of the same formula (kJ/mol of formula units) = 393.3
- symmetry = Pm-3m (221)
- total magnetization (Bohr magnetons per cell) = 3.562

abc: 5.442 5.442 5.442
angles: 90.00 90.00 90.00
Positions (direct):
Bi: 0.000 0.500 0.000
Bi: 0.000 0.000 0.500
Bi: 0.500 0.000 0.000
V: 0.500 0.500 0.500
Na: 0.000 0.000 0.000

First-principles (PBE-GGA) data for an optimized crystal structure of NaVBi3, as listed in Alexandria.

Summary:
- formation energy (eV/f.u.) = 0.99
- electronic total energy (eV/atom) = -4.219
- crystal system = cubic
- distance to the lowest polymorph of the same formula (kJ/mol of formula units) = 0.0
- symmetry = Pm-3m (221)
- total magnetization (Bohr magnetons per cell) = 0.000

abc: 5.378 5.378 5.378
angles: 90.00 90.00 90.00
Positions (direct):
V: 0.000 0.000 0.000
Na: 0.500 0.500 0.500
Bi: 0.000 0.000 0.500
Bi: 0.000 0.500 0.000
Bi: 0.500 0.000 0.000

First-principles (PBE-GGA) data for an optimized crystal structure of Na3VBi, as listed in Alexandria.

Summary:
- formation energy (eV/f.u.) = 3.65
- electronic total energy (eV/atom) = -2.661
- crystal system = cubic
- distance to the lowest polymorph of the same formula (kJ/mol of formula units) = 0.0
- symmetry = Pm-3m (221)
- total magnetization (Bohr magnetons per cell) = 4.832

abc: 5.940 5.940 5.940
angles: 90.00 90.00 90.00
Positions (direct):
Na: 0.500 0.000 0.000
Na: 0.000 0.000 0.500
Na: 0.000 0.500 0.000
V: 0.500 0.500 0.500
Bi: 0.000 0.000 0.000